# 1
A geometry-optimized YCuW4 structure, computed with PBE-GGA.

```
data_YCuW4
_cell_length_a 7.642
_cell_length_b 7.642
_cell_length_c 7.642
_cell_angle_alpha 90.00
_cell_angle_beta 90.00
_cell_angle_gamma 90.00
_symmetry_space_group_name_H-M 'F -4 3 m'
_symmetry_Int_Tables_number 216
_symmetry_space_group_name_Hall 'F -4 2 3'
loop_
_atom_site_label
_atom_site_fract_x
_atom_site_fract_y
_atom_site_fract_z
_atom_site_occupancy
Y1 0.000 0.000 0.000 1
Cu1 0.250 0.250 0.750 1
W1 0.125 0.125 0.375 1
```

* spin magnetization: 0.00 Bohr magnetons per cell

# 2
A geometry-optimized YCuW2 structure, computed with PBE-GGA.

```
data_YCuW2
_cell_length_a 9.289
_cell_length_b 2.827
_cell_length_c 5.586
_cell_angle_alpha 90.00
_cell_angle_beta 96.65
_cell_angle_gamma 90.00
_symmetry_space_group_name_H-M 'C 1 m 1'
_symmetry_Int_Tables_number 8
loop_
_symmetry_equiv_pos_as_xyz
'x,y,z'
'x,-y,z'
'x+1/2,y+1/2,z'
'x+1/2,-y+1/2,z'
loop_
_atom_site_label
_atom_site_fract_x
_atom_site_fract_y
_atom_site_fract_z
_atom_site_occupancy
Y1 0.000 0.000 0.000 1
Cu1 0.250 0.500 0.250 1
W1 0.233 0.000 0.678 1
W2 0.477 0.000 0.495 1
```

* spin magnetization: 0.00 Bohr magnetons per cell
* polymorph energy (0 for the lowest one): 26.2 kJ/mol of atoms

Number 1: calculated total energy -236.81 eV/cell, E_form 0.528 eV/atom. Number 2: calculated total energy -68.55 eV/cell, E_form 0.548 eV/atom.